{
  "formula": "Tm2SbTe2",
  "functional": "PBE-GGA",
  "state": "optimized geometry",
  "cell": [[4.283, 0.000, 0.000], [0.000, 6.021, 0.000], [0.000, 0.000, 12.981]],
  "species": ["Tm", "Tm", "Tm", "Tm", "Sb", "Sb", "Te", "Te", "Te", "Te"],
  "frac_coords": [[0.000, 0.000, 0.167], [0.000, 0.000, 0.833], [0.500, 0.500, 0.333], [0.500, 0.500, 0.667], [0.000, 0.500, 0.500], [0.500, 0.000, 0.000], [0.000, 0.500, 0.164], [0.000, 0.500, 0.836], [0.500, 0.000, 0.336], [0.500, 0.000, 0.664]],
  "sg": "No. 71",
  "magnetic_moment_mub_per_fu": 0.436,
  "raw_formation_energy_kj_per_mol_fu": -490
}